First-principles (PBE) data for crystalline SiW2Br at its relaxed geometry, as listed in Alexandria.

The space group is Immm (No. 71) and the conventional cell measures 2.845, 4.537 and 10.997 Å, with angles of 90.00, 90.00 and 90.00 degrees. The asymmetric unit holds Si at (0.000, 0.000, 0.000), W at (0.000, 0.500, 0.302) and Br at (0.000, 0.000, 0.500).

The calculation puts the density of states at the Fermi level at 5.6 states/eV per cell. The calculation puts the energy relative to the elements, uncorrected at 0.8689 eV per atom. Its polymorph energy (0 for the lowest one) is 612.3 meV per atom.